The following is a DFT calculation (PBE) of a relaxed Rb2NaF2 crystal.

Calculated values
Polymorph energy (0 for the lowest one) (meV/atom): 170
Spin magnetization (μB per atom): 0.000
Formation energy without anion corrections (eV/atom): -1.873
Total DFT energy (no corrections) (eV per cell): -16.36
Fermi-level density of states (states/eV/f.u.): 1.632

The structure in POSCAR format:
```
Rb2NaF2
1.0
-2.5639 2.5639 7.0361
2.5639 -2.5639 7.0361
2.5639 2.5639 -7.0361
Rb Na F
2 1 2
Direct
0.1888 0.1888 0.0000
0.8112 0.8112 0.0000
0.5000 0.5000 0.0000
0.2500 0.7500 0.5000
0.7500 0.2500 0.5000
```

***

The following is a DFT calculation (PBE) of a relaxed Ac2SmSn crystal.

Calculated values
Polymorph energy (0 for the lowest one) (meV/atom): 0
Spin magnetization (μB per atom): 0.000
Total DFT energy (no corrections) (eV per cell): -18.31
Fermi-level density of states (states/eV/f.u.): 5.078
Formation energy from the elements (eV per formula unit): -1.4

The structure in POSCAR format:
```
Ac2SmSn
1.0
5.2040 0.0000 0.0000
0.0000 5.2040 0.0000
0.0000 0.0000 5.1350
Ac Sm Sn
2 1 1
Direct
0.0000 0.5000 0.0000
0.5000 0.0000 0.0000
0.0000 0.0000 0.5000
0.5000 0.5000 0.5000
```

***

The following is a DFT calculation (PBE) of a relaxed SiAsRh2 crystal.

Calculated values
Spin magnetization (μB per atom): 0.000
Formation energy without anion corrections (eV/atom): -0.491
Total DFT energy (no corrections) (eV per cell): -26.74
Fermi-level density of states (states/eV/f.u.): 1.679

The structure in POSCAR format:
```
SiAsRh2
1.0
3.3908 0.0000 0.0000
0.0000 3.3908 0.0000
0.0000 0.0000 5.0861
Si As Rh
1 1 2
Direct
0.0000 0.0000 0.0000
0.5000 0.5000 0.3426
0.0000 0.0000 0.4959
0.5000 0.5000 0.8543
```